# LiMg3C4O12 (PBE, optimized geometry)
data_LiMg3C4O12
_cell_length_a 9.5572
_cell_length_b 9.5572
_cell_length_c 7.9001
_cell_angle_alpha 90.00
_cell_angle_beta 90.00
_cell_angle_gamma 120.00
_symmetry_space_group_name_H-M 'R 3 2'
_symmetry_Int_Tables_number 155
_symmetry_space_group_name_Hall 'R 3 2"'
loop_
_atom_site_label
_atom_site_type_symbol
_atom_site_fract_x
_atom_site_fract_y
_atom_site_fract_z
_atom_site_occupancy
Li1 Li 0.0000 0.0000 0.0000 1
Mg1 Mg 0.0000 0.5434 0.0000 1
C1 C 0.0000 0.0000 0.5000 1
C2 C 0.0000 0.4575 0.5000 1
O1 O 0.0000 0.5932 0.5000 1
O2 O 0.0000 0.8649 0.5000 1
O3 O 0.0085 0.2067 0.1837 1
# - DOS(E_F) (states/eV/f.u.) = 8.1
# - formation energy (no corrections) (kcal/mol of atoms) = -42.78

# Li3MgPCO7 (PBE, optimized geometry)
data_Li3MgPCO7
_cell_length_a 5.057
_cell_length_b 6.482
_cell_length_c 8.417
_cell_angle_alpha 90.00
_cell_angle_beta 92.41
_cell_angle_gamma 90.00
_symmetry_space_group_name_H-M 'P 1 21 1'
_symmetry_Int_Tables_number 4
loop_
_symmetry_equiv_pos_as_xyz
'x,y,z'
'-x,y+1/2,-z'
loop_
_atom_site_label
_atom_site_type_symbol
_atom_site_fract_x
_atom_site_fract_y
_atom_site_fract_z
_atom_site_occupancy
Li1 Li 0.041 0.000 0.003 1
Li2 Li 0.416 0.292 0.822 1
Li3 Li 0.437 0.127 0.478 1
Mg1 Mg 0.052 0.771 0.722 1
P1 P 0.042 0.771 0.335 1
C1 C 0.463 0.280 0.132 1
O1 O 0.054 0.081 0.764 1
O2 O 0.073 0.459 0.761 1
O3 O 0.087 0.258 0.501 1
O4 O 0.213 0.267 0.090 1
O5 O 0.346 0.789 0.359 1
O6 O 0.363 0.802 0.975 1
O7 O 0.462 0.768 0.719 1
# - DOS(E_F) (states/eV/f.u.) = 0.0
# - formation energy (no corrections) (kcal/mol of atoms) = -51.17

# Li3MgPCO7 (PBE, optimized geometry)
data_Li3MgPCO7
_cell_length_a 5.009
_cell_length_b 6.448
_cell_length_c 8.402
_cell_angle_alpha 90.00
_cell_angle_beta 95.73
_cell_angle_gamma 90.00
_symmetry_space_group_name_H-M 'P 1 21/m 1'
_symmetry_Int_Tables_number 11
loop_
_symmetry_equiv_pos_as_xyz
'x,y,z'
'-x,-y,-z'
'-x,y+1/2,-z'
'x,-y+1/2,z'
loop_
_atom_site_label
_atom_site_type_symbol
_atom_site_fract_x
_atom_site_fract_y
_atom_site_fract_z
_atom_site_occupancy
Li1 Li 0.208 0.250 0.104 1
Li2 Li 0.268 0.518 0.728 1
Mg1 Mg 0.209 0.750 0.336 1
P1 P 0.267 0.250 0.413 1
C1 C 0.319 0.750 0.042 1
O1 O 0.070 0.750 0.070 1
O2 O 0.160 0.250 0.578 1
O3 O 0.166 0.061 0.308 1
O4 O 0.390 0.750 0.897 1
O5 O 0.419 0.750 0.563 1
O6 O 0.499 0.250 0.835 1
# - DOS(E_F) (states/eV/f.u.) = 0.0
# - formation energy (no corrections) (kcal/mol of atoms) = -51.16

# Li2MgOsC (PBE, optimized geometry)
data_Li2MgOsC
_cell_length_a 4.097
_cell_length_b 4.097
_cell_length_c 3.965
_cell_angle_alpha 90.00
_cell_angle_beta 90.00
_cell_angle_gamma 90.00
_symmetry_space_group_name_H-M 'P 4/m m m'
_symmetry_Int_Tables_number 123
_symmetry_space_group_name_Hall '-P 4 2'
loop_
_atom_site_label
_atom_site_type_symbol
_atom_site_fract_x
_atom_site_fract_y
_atom_site_fract_z
_atom_site_occupancy
Li1 Li 0.000 0.500 0.000 1
Mg1 Mg 0.000 0.000 0.500 1
Os1 Os 0.500 0.500 0.500 1
C1 C 0.500 0.500 0.000 1
# - DOS(E_F) (states/eV/f.u.) = 3.1
# - formation energy (eV per atom) = 0.127

# Li2MgRhC (PBE, optimized geometry)
data_Li2MgRhC
_cell_length_a 4.113
_cell_length_b 4.113
_cell_length_c 3.937
_cell_angle_alpha 90.00
_cell_angle_beta 90.00
_cell_angle_gamma 90.00
_symmetry_space_group_name_H-M 'P 4/m m m'
_symmetry_Int_Tables_number 123
_symmetry_space_group_name_Hall '-P 4 2'
loop_
_atom_site_label
_atom_site_type_symbol
_atom_site_fract_x
_atom_site_fract_y
_atom_site_fract_z
_atom_site_occupancy
Li1 Li 0.000 0.500 0.000 1
Mg1 Mg 0.000 0.000 0.500 1
Rh1 Rh 0.500 0.500 0.500 1
C1 C 0.500 0.500 0.000 1
# - DOS(E_F) (states/eV/f.u.) = 1.4
# - formation energy (eV per atom) = -0.035

# LiMgRh2C (PBE, optimized geometry)
data_LiMgRh2C
_cell_length_a 4.011
_cell_length_b 4.011
_cell_length_c 4.109
_cell_angle_alpha 90.00
_cell_angle_beta 90.00
_cell_angle_gamma 90.00
_symmetry_space_group_name_H-M 'P 4/m m m'
_symmetry_Int_Tables_number 123
_symmetry_space_group_name_Hall '-P 4 2'
loop_
_atom_site_label
_atom_site_type_symbol
_atom_site_fract_x
_atom_site_fract_y
_atom_site_fract_z
_atom_site_occupancy
Li1 Li 0.000 0.000 0.000 1
Mg1 Mg 0.500 0.500 0.000 1
Rh1 Rh 0.000 0.500 0.500 1
C1 C 0.000 0.000 0.500 1
# - DOS(E_F) (states/eV/f.u.) = 0.9
# - formation energy (eV per atom) = -0.289
# - polymorph energy (0 for the lowest one) (meV/atom) = 0.0

Let's list VASP energy in order: -140.2 -85.5 -85.5 -25.2 -22.2 -28.9 eV/f.u..
Let's list M_tot in order: 0.055 0.000 0.001 0.000 0.031 0.000 μB per atom.